Entry 1:
Entry from the Alexandria database: a relaxed Na2CaCrCl6 crystal (GGA-PBE).

Lattice parameters (Å, degrees): 7.345 7.345 5.256 90.00 90.00 90.00
Positions (direct):
Na: 0.000 0.500 0.000
Na: 0.500 0.000 0.000
Ca: 0.000 0.000 0.714
Cr: 0.500 0.500 0.735
Cl: 0.000 0.000 0.220
Cl: 0.261 0.261 0.766
Cl: 0.261 0.739 0.766
Cl: 0.500 0.500 0.255
Cl: 0.739 0.261 0.766
Cl: 0.739 0.739 0.766

Computed properties:
Symmetry: No. 99
Magnetization in μB per formula unit: 4.000
Formation energy from raw total energies in kJ/mol of atoms: -155.4

=====

Entry 2:
Entry from the Alexandria database: a relaxed NaCa2CrCl8 crystal (GGA-PBE).

Lattice parameters (Å, degrees): 6.067 8.221 6.272 90.00 90.22 90.00
Positions (direct):
Na: 0.000 0.000 0.000
Ca: 0.500 0.252 0.500
Ca: 0.500 0.748 0.500
Cr: 0.000 0.500 0.000
Cl: 0.213 0.292 0.843
Cl: 0.213 0.708 0.843
Cl: 0.243 0.500 0.306
Cl: 0.276 0.000 0.334
Cl: 0.724 0.000 0.666
Cl: 0.757 0.500 0.694
Cl: 0.787 0.292 0.157
Cl: 0.787 0.708 0.157

Computed properties:
Symmetry: No. 10
Magnetization in μB per formula unit: 3.000
Formation energy from raw total energies in kJ/mol of atoms: -175.5

=====

Entry 3:
Entry from the Alexandria database: a relaxed CaCrOsCl2 crystal (GGA-PBE).

Lattice parameters (Å, degrees): 4.764 4.764 4.722 90.00 90.00 90.00
Positions (direct):
Ca: 0.000 0.000 0.000
Cr: 0.500 0.500 0.500
Os: 0.500 0.500 0.000
Cl: 0.000 0.500 0.500
Cl: 0.500 0.000 0.500

Computed properties:
Symmetry: No. 123
Magnetization in μB per formula unit: 2.926
Formation energy from raw total energies in kJ/mol of atoms: 8.5

=====

Entry 4:
Entry from the Alexandria database: a relaxed CaCrPCl2 crystal (GGA-PBE).

Lattice parameters (Å, degrees): 5.106 5.106 5.852 90.00 90.00 90.00
Positions (direct):
Ca: 0.000 0.000 0.000
Cr: 0.500 0.500 0.500
P: 0.000 0.000 0.500
Cl: 0.000 0.500 0.000
Cl: 0.500 0.000 0.000

Computed properties:
Symmetry: No. 123
Magnetization in μB per formula unit: 2.999
Formation energy from raw total energies in kJ/mol of atoms: -19.5

=====

Entry 5:
Entry from the Alexandria database: a relaxed CaCrP2Cl crystal (GGA-PBE).

Lattice parameters (Å, degrees): 5.351 5.351 5.082 90.00 90.00 90.00
Positions (direct):
Ca: 0.000 0.000 0.000
Cr: 0.500 0.500 0.500
P: 0.000 0.500 0.000
P: 0.500 0.000 0.000
Cl: 0.000 0.000 0.500

Computed properties:
Symmetry: No. 123
Magnetization in μB per formula unit: 3.043
Formation energy from raw total energies in kJ/mol of atoms: 61.5

=====

Entry 6:
Entry from the Alexandria database: a relaxed CaCrPCl2 crystal (GGA-PBE).

Lattice parameters (Å, degrees): 4.796 4.796 4.804 90.00 90.00 90.00
Positions (direct):
Ca: 0.000 0.000 0.000
Cr: 0.500 0.500 0.500
P: 0.500 0.500 0.000
Cl: 0.000 0.500 0.500
Cl: 0.500 0.000 0.500

Computed properties:
Symmetry: No. 123
Magnetization in μB per formula unit: 3.000
Formation energy from raw total energies in kJ/mol of atoms: -77.5

=====

Question: Which of these has the highest magnetization?
Answer: Na2CaCrCl6

=====

Question: magnetization of number 6 (CaCrPCl2)?
Answer: 3.000 μB per formula unit

=====

Question: Among the records above, which one has the highest magnetization?
Answer: Na2CaCrCl6